# CoPSO2 | the Alexandria database | PBE with a Hubbard U | optimized geometry
# N(E_F) ... 1.4 states/eV/f.u.
# Electronic total energy ... -4.658 eV/atom
data_CoPSO2
_chemical_formula_sum 'Co1 P1 S1 O2'
_symmetry_space_group_name_H-M 'P 4/m m m'
_symmetry_Int_Tables_number 123
_symmetry_space_group_name_Hall '-P 4 2'
_cell_length_a 3.5071
_cell_length_b 3.5071
_cell_length_c 4.8230
_cell_angle_alpha 90.00
_cell_angle_beta 90.00
_cell_angle_gamma 90.00
loop_
_atom_site_label
_atom_site_fract_x
_atom_site_fract_y
_atom_site_fract_z
Co1 0.0000 0.0000 0.0000
P1 0.5000 0.5000 0.0000
S1 0.5000 0.5000 0.5000
O1 0.0000 0.5000 0.5000